# 1
! CaScHg | Alexandria via LeMat-Bulk | GGA-PBE | relaxed; values from VASP
! distance to the lowest polymorph of the same formula = 168 meV per atom
! energy of formation = -0.075 eV/atom
! space group = F-43m
! crystal system = cubic
&SYSTEM
  ibrav = 0, nat = 3, ntyp = 3
/
ATOMIC_SPECIES
Ca 40.08 Ca.upf
Sc 44.96 Sc.upf
Hg 200.59 Hg.upf
CELL_PARAMETERS angstrom
0.0000 3.5473 3.5473
3.5473 0.0000 3.5473
3.5473 3.5473 0.0000
ATOMIC_POSITIONS angstrom
Ca 0.0000 0.0000 0.0000
Sc 3.5473 3.5473 3.5473
Hg 1.7736 1.7736 1.7736

---

# 2
! NpSeO2 | Alexandria via LeMat-Bulk | GGA-PBE | relaxed; values from VASP
! space group = P2/m
! total energy = -8.518 eV/atom
! crystal system = monoclinic
&SYSTEM
  ibrav = 0, nat = 4, ntyp = 3
/
ATOMIC_SPECIES
Np 237.00 Np.upf
Se 78.96 Se.upf
O 16.00 O.upf
CELL_PARAMETERS angstrom
5.6716 0.0000 0.0000
0.0000 3.2965 0.0000
-2.8283 0.0000 5.0431
ATOMIC_POSITIONS angstrom
Np 0.0000 0.0000 0.0000
Se 2.8358 0.0000 0.0000
O 0.0007 1.6482 1.2403
O 2.8425 1.6482 3.8028

---

# 3
! Er4CuPd2 | Alexandria via LeMat-Bulk | GGA-PBE | relaxed; values from VASP
! energy of formation = -0.537 eV/atom
! space group = I4/mmm
! crystal system = tetragonal
&SYSTEM
  ibrav = 0, nat = 7, ntyp = 3
/
ATOMIC_SPECIES
Er 167.26 Er.upf
Cu 63.55 Cu.upf
Pd 106.42 Pd.upf
CELL_PARAMETERS angstrom
-3.4327 3.4327 3.4673
3.4327 -3.4327 3.4673
3.4327 3.4327 -3.4673
ATOMIC_POSITIONS angstrom
Er 1.7164 1.7164 -1.7337
Er 1.7164 -1.7164 1.7337
Er -1.7164 1.7164 1.7337
Er 1.7164 1.7164 1.7337
Cu 0.0000 0.0000 0.0000
Pd 3.4327 0.0000 0.0000
Pd 0.0000 3.4327 0.0000

---

# 4
! Dy15Ho4Er | Alexandria via LeMat-Bulk | GGA-PBE | relaxed; values from VASP
! energy of formation = 0.018 eV/atom
! space group = P4/mmm
! crystal system = tetragonal
&SYSTEM
  ibrav = 0, nat = 20, ntyp = 3
/
ATOMIC_SPECIES
Dy 162.50 Dy.upf
Ho 164.93 Ho.upf
Er 167.26 Er.upf
CELL_PARAMETERS angstrom
4.9919 0.0000 0.0000
0.0000 4.9919 0.0000
0.0000 0.0000 24.9540
ATOMIC_POSITIONS angstrom
Dy 0.0000 0.0000 0.0000
Dy 0.0000 0.0000 4.9915
Dy 0.0000 0.0000 9.9838
Dy 0.0000 0.0000 14.9702
Dy 0.0000 0.0000 19.9625
Dy 0.0000 2.4960 2.4938
Dy 0.0000 2.4960 7.4891
Dy 0.0000 2.4960 12.4770
Dy 0.0000 2.4960 17.4649
Dy 0.0000 2.4960 22.4602
Dy 2.4960 0.0000 2.4938
Dy 2.4960 0.0000 7.4891
Dy 2.4960 0.0000 12.4770
Dy 2.4960 0.0000 17.4649
Dy 2.4960 0.0000 22.4602
Ho 2.4960 2.4960 4.9926
Ho 2.4960 2.4960 9.9837
Ho 2.4960 2.4960 14.9704
Ho 2.4960 2.4960 19.9614
Er 2.4960 2.4960 0.0000

---

# 5
! KTcOs | Alexandria via LeMat-Bulk | GGA-PBE | relaxed; values from VASP
! distance to the lowest polymorph of the same formula = 0 meV per atom
! energy of formation = 0.876 eV/atom
! space group = I4mm
! crystal system = tetragonal
&SYSTEM
  ibrav = 0, nat = 3, ntyp = 3
/
ATOMIC_SPECIES
K 39.10 K.upf
Tc 98.00 Tc.upf
Os 190.23 Os.upf
CELL_PARAMETERS angstrom
-1.5209 1.5209 7.1595
1.5209 -1.5209 7.1595
1.5209 1.5209 -7.1595
ATOMIC_POSITIONS angstrom
K 0.0000 0.0000 0.0000
Tc 0.0000 0.0000 10.2436
Os 0.0000 0.0000 4.3612

---

# 6
! CdFe | Alexandria via LeMat-Bulk | GGA-PBE | relaxed; values from VASP
! energy of formation = 0.854 eV/atom
! space group = I-43m
! crystal system = cubic
&SYSTEM
  ibrav = 0, nat = 8, ntyp = 2
/
ATOMIC_SPECIES
Cd 112.41 Cd.upf
Fe 55.84 Fe.upf
CELL_PARAMETERS angstrom
-4.0225 4.0225 4.0225
4.0225 -4.0225 4.0225
4.0225 4.0225 -4.0225
ATOMIC_POSITIONS angstrom
Cd 1.6738 1.6738 -1.6738
Cd 1.6738 -1.6738 1.6738
Cd -1.6738 1.6738 1.6738
Cd 2.3487 2.3487 2.3487
Fe 3.1983 3.1983 -3.1983
Fe 3.1983 -3.1983 3.1983
Fe 0.8242 0.8242 0.8242
Fe -3.1983 3.1983 3.1983

---

# 7
! Ga2CI | Alexandria via LeMat-Bulk | GGA-PBE | relaxed; values from VASP
! distance to the lowest polymorph of the same formula = 1165 meV per atom
! space group = Fm-3m
! crystal system = cubic
&SYSTEM
  ibrav = 0, nat = 4, ntyp = 3
/
ATOMIC_SPECIES
Ga 69.72 Ga.upf
C 12.01 C.upf
I 126.90 I.upf
CELL_PARAMETERS angstrom
0.0000 3.4714 3.4714
3.4714 0.0000 3.4714
3.4714 3.4714 0.0000
ATOMIC_POSITIONS angstrom
Ga 1.7357 1.7357 1.7357
Ga 5.2072 5.2072 5.2072
C 0.0000 0.0000 0.0000
I 3.4714 3.4714 3.4714

---

# 8
! TbSmTc4 | Alexandria via LeMat-Bulk | GGA-PBE | relaxed; values from VASP
! energy of formation = -0.065 eV/atom
! space group = F-43m
! crystal system = cubic
&SYSTEM
  ibrav = 0, nat = 6, ntyp = 3
/
ATOMIC_SPECIES
Tb 158.93 Tb.upf
Sm 150.36 Sm.upf
Tc 98.00 Tc.upf
CELL_PARAMETERS angstrom
0.0000 3.8459 3.8459
3.8459 0.0000 3.8459
3.8459 3.8459 0.0000
ATOMIC_POSITIONS angstrom
Tb 0.0000 0.0000 0.0000
Sm 1.9229 1.9229 1.9229
Tc 4.8077 2.8840 2.8840
Tc 2.8840 4.8077 2.8840
Tc 2.8840 2.8840 4.8077
Tc 4.8077 4.8077 4.8077

---

# 9
! Ca3As3Au2 | Alexandria via LeMat-Bulk | GGA-PBE | relaxed; values from VASP
! energy of formation = -0.829 eV/atom
! space group = Cmcm
! crystal system = orthorhombic
&SYSTEM
  ibrav = 0, nat = 16, ntyp = 3
/
ATOMIC_SPECIES
Ca 40.08 Ca.upf
As 74.92 As.upf
Au 196.97 Au.upf
CELL_PARAMETERS angstrom
2.1953 -5.5995 0.0000
2.1953 5.5995 0.0000
0.0000 0.0000 14.9881
ATOMIC_POSITIONS angstrom
Ca 2.1953 4.6491 9.0473
Ca 2.1953 4.6491 13.4349
Ca 2.1953 1.6149 11.2411
Ca 2.1953 -1.6149 3.7470
Ca 2.1953 -4.6491 1.5532
Ca 2.1953 -4.6491 5.9409
As 2.1953 1.5332 3.7470
As 2.1953 1.3271 8.2132
As 2.1953 1.3271 14.2690
As 2.1953 -1.3271 0.7191
As 2.1953 -1.3271 6.7750
As 2.1953 -1.5332 11.2411
Au 2.1953 3.1727 1.6479
Au 2.1953 3.1727 5.8461
Au 2.1953 -3.1727 9.1420
Au 2.1953 -3.1727 13.3402

---

# 10
! Er6Tl3Hg | Alexandria via LeMat-Bulk | GGA-PBE | relaxed; values from VASP
! distance to the lowest polymorph of the same formula = 0 meV per atom
! energy of formation = -0.268 eV/atom
! space group = P2_1/m
! crystal system = monoclinic
&SYSTEM
  ibrav = 0, nat = 20, ntyp = 3
/
ATOMIC_SPECIES
Er 167.26 Er.upf
Tl 204.38 Tl.upf
Hg 200.59 Hg.upf
CELL_PARAMETERS angstrom
9.6777 0.0000 0.0000
0.0000 5.1878 0.0000
-3.2411 0.0000 10.9289
ATOMIC_POSITIONS angstrom
Er -0.8751 1.2969 4.4282
Er 0.8453 3.8908 2.0592
Er 2.5151 1.2969 0.0224
Er 0.7807 3.8908 9.0092
Er 2.5348 1.2969 3.6059
Er 1.7886 1.2969 6.8328
Er 4.6480 3.8908 4.0960
Er 3.9018 3.8908 7.3230
Er 5.6559 1.2969 1.9196
Er 3.9215 3.8908 10.9065
Er 5.5913 1.2969 8.8697
Er 7.3117 3.8908 6.5007
Tl -2.5626 3.8908 9.7765
Tl -1.0740 1.2969 7.8040
Tl 1.2210 3.8908 5.2237
Tl 5.2156 1.2969 5.7052
Tl 7.5106 3.8908 3.1249
Tl 8.9992 1.2969 1.1524
Hg 3.7506 3.8908 1.2604
Hg 2.6861 1.2969 9.6685

---

# 11
! TiIn3I | Alexandria via LeMat-Bulk | GGA-PBE | relaxed; values from VASP
! distance to the lowest polymorph of the same formula = 0 meV per atom
! space group = Pm-3m
! crystal system = cubic
&SYSTEM
  ibrav = 0, nat = 5, ntyp = 3
/
ATOMIC_SPECIES
Ti 47.87 Ti.upf
In 114.82 In.upf
I 126.90 I.upf
CELL_PARAMETERS angstrom
5.6111 0.0000 0.0000
0.0000 5.6111 0.0000
0.0000 0.0000 5.6111
ATOMIC_POSITIONS angstrom
Ti 0.0000 0.0000 0.0000
In 0.0000 0.0000 2.8055
In 0.0000 2.8055 0.0000
In 2.8055 0.0000 0.0000
I 2.8055 2.8055 2.8055

---

# 12
! NbVTe | Alexandria via LeMat-Bulk | GGA-PBE | relaxed; values from VASP
! distance to the lowest polymorph of the same formula = 46 meV per atom
! space group = Pmmn
! crystal system = orthorhombic
&SYSTEM
  ibrav = 0, nat = 6, ntyp = 3
/
ATOMIC_SPECIES
Nb 92.91 Nb.upf
V 50.94 V.upf
Te 127.60 Te.upf
CELL_PARAMETERS angstrom
3.0490 0.0000 0.0000
0.0000 4.8251 0.0000
0.0000 0.0000 9.8339
ATOMIC_POSITIONS angstrom
Nb 0.7623 1.2063 1.7572
Nb 2.2868 3.6189 8.0767
V 0.7623 3.6189 0.2528
V 2.2868 1.2063 9.5810
Te 0.7623 3.6189 3.2278
Te 2.2868 1.2063 6.6060